Ca4Mn3SbO12 | PBEsol | relaxed

The structure in POSCAR format:
```
Ca4Mn3SbO12
1.0
5.336 0.000 0.000
0.000 5.406 0.000
-0.005 -0.006 7.509
Ca Mn Sb O
4 3 1 12
direct
0.006 0.461 0.232
0.488 0.952 0.233
0.512 0.048 0.767
0.994 0.539 0.768
0.000 0.000 0.000
0.500 0.500 0.000
0.500 0.500 0.500
0.000 0.000 0.500
0.085 0.978 0.755
0.205 0.699 0.454
0.215 0.717 0.037
0.283 0.216 0.036
0.304 0.206 0.455
0.426 0.483 0.747
0.574 0.517 0.253
0.696 0.794 0.545
0.717 0.784 0.964
0.785 0.283 0.963
0.795 0.301 0.546
0.915 0.022 0.245
```

Values from the calculation:
- Space group: P-1, No. 2
- VASP energy: -150.90 eV for the cell shown
- Energy relative to the elements, uncorrected: -4393 kJ/mol of formula units